1.
The following is a DFT calculation (PBE) of a geometry-optimized TcHgW2 structure.

a b c (Å): 3.2651 4.4732 9.1503
angles (deg): 90.00 90.00 90.00
Closest atoms and distances in Å follow each position.
Space group Immm (No. 71)
Symmetry-distinct sites (fractional):
Tc  0.0000  0.0000  0.0000 [2 per cell]  4 W 2.69, 4 Hg 2.77
Hg  0.0000  0.0000  0.5000 [2 per cell]  4 Tc 2.77, 8 W 2.94-3.09
W  0.0000  0.5000  0.2667 [4 per cell]  2 Tc 2.69, 4 W 2.79, 2 Hg 2.94

Calculated values
**M_tot**: 0.000 μB/atom
**Energy**: -8.58 eV per atom

---

2.
The following is a DFT calculation (PBE) of a geometry-optimized Tl3CuO6 structure.

a b c (Å): 5.6595 5.6595 14.6562
angles (deg): 90.00 90.00 120.00
Closest atoms and distances in Å follow each position.
Space group R3 (No. 146, hexagonal axes)
Symmetry-distinct sites (fractional):
Tl  0.0000  0.0000  0.0000 [3 per cell]  6 O 2.22-2.40
Tl  0.0000  0.0000  0.2216 [3 per cell]  6 O 2.23-2.40
Tl  0.0000  0.0000  0.4912 [3 per cell]  6 O 2.24-2.43
Cu  0.0000  0.0000  0.7097 [3 per cell]  6 O 2.04-2.06
O  0.0442  0.3343  0.7776 [9 per cell]  1 Cu 2.04, 1 Tl 2.24
O  0.0622  0.6769  0.2850 [9 per cell]  1 Cu 2.06, 2 Tl 2.22-2.23

Calculated values
**Formation energy (no corrections)**: -0.514 eV per atom
**M_tot**: 0.189 μB/atom
**Energy**: -4.61 eV per atom

---

3.
The following is a DFT calculation (PBE) of a geometry-optimized SrCaHg5 structure.

a b c (Å): 6.4480 9.5443 6.7701
angles (deg): 90.00 90.00 90.00
Closest atoms and distances in Å follow each position.
Space group Cmmm (No. 65)
Symmetry-distinct sites (fractional):
Sr  0.0000  0.0000  0.0000 [2 per cell]  10 Hg 3.34-3.39
Ca  0.0000  0.5000  0.5000 [2 per cell]  10 Hg 3.22-3.34
Hg  0.0000  0.0000  0.5000 [2 per cell]  2 Ca 3.22, 8 Hg 3.34, 2 Sr 3.39
Hg  0.2500  0.2500  0.2503 [8 per cell]  6 Hg 3.22-3.39, 2 Ca 3.34, 2 Sr 3.34

Calculated values
**M_tot**: 0.000 μB/atom
**Energy**: -1.09 eV per atom

---

4.
The following is a DFT calculation (PBE) of a geometry-optimized Hg2PdPb structure.

a b c (Å): 3.8780 9.2577 5.4708
angles (deg): 90.00 110.15 90.00
Closest atoms and distances in Å follow each position.
Space group P2_1/m (No. 11)
Symmetry-distinct sites (fractional):
Hg  0.1391  0.0413  0.2790 [4 per cell]  3 Pd 2.89-3.01, 3 Hg 2.97-3.10
Pd  0.2726  0.7500  0.5389 [2 per cell]  6 Hg 2.89-3.01, 3 Pb 2.90-2.97
Pb  0.4373  0.2500  0.8829 [2 per cell]  3 Pd 2.90-2.97

Calculated values
**M_tot**: 0.000 μB/atom
**Energy**: -2.47 eV per atom

---

5.
The following is a DFT calculation (PBE) of a geometry-optimized La2TmScP4 structure.

a b c (Å): 7.0303 4.0751 7.0506
angles (deg): 90.00 109.52 90.00
Closest atoms and distances in Å follow each position.
Space group P2/m (No. 10)
Symmetry-distinct sites (fractional):
La  0.0000  0.0000  0.0000 [1 per cell]  6 P 2.95
La  0.0000  0.5000  0.5000 [1 per cell]  6 P 2.99
Tm  0.5000  0.0000  0.5000 [1 per cell]  6 P 2.81
Sc  0.5000  0.5000  0.0000 [1 per cell]  6 P 2.77
P  0.2715  0.5000  0.2523 [2 per cell]  1 Sc 2.77, 2 Tm 2.81, 3 La 2.95-2.99
P  0.2748  0.0000  0.7631 [2 per cell]  2 Sc 2.77, 1 Tm 2.81, 3 La 2.95-2.99

Calculated values
**M_tot**: 0.000 μB/atom
**Energy**: -6.80 eV per atom

---

6.
The following is a DFT calculation (PBE) of a geometry-optimized GaHgB structure.

a b c (Å): 3.1264 3.7107 9.9559
angles (deg): 100.65 90.48 90.71
Closest atoms and distances in Å follow each position.
Space group P1 (No. 1)
Symmetry-distinct sites (fractional):
Ga  0.0000  0.0000  0.0000 [1 per cell]  2 B 2.15
Ga  0.0685  0.6642  0.3352 [1 per cell]  3 B 2.23-2.46
Hg  0.1998  0.2675  0.5396 [1 per cell]  2 Ga 2.75-2.76, 2 Hg 3.03-3.04
Hg  0.5466  0.8833  0.7598 [1 per cell]  2 Ga 2.73-2.92, 2 Hg 3.03-3.04
B  0.0851  0.5539  0.1076 [1 per cell]  2 B 1.61
B  0.5872  0.5730  0.1478 [1 per cell]  2 B 1.61

Calculated values
**M_tot**: 0.000 μB/atom
**Energy**: -3.08 eV per atom

---

7.
The following is a DFT calculation (PBE) of a geometry-optimized Ho3AuSe2 structure.

a b c (Å): 8.3202 11.6213 24.3540
angles (deg): 90.00 90.00 90.00
Closest atoms and distances in Å follow each position.
Space group Fddd (No. 70, origin choice 2)
Symmetry-distinct sites (fractional):
Ho  0.1233  0.3750  0.3750 [16 per cell]  4 Se 2.88-2.91, 2 Au 2.91
Ho  0.1248  0.3744  0.0417 [32 per cell]  4 Se 2.89-2.94, 2 Au 2.90
Au  0.1250  0.1250  0.0410 [16 per cell]  6 Ho 2.90-2.91
Se  0.1250  0.1250  0.3758 [16 per cell]  6 Ho 2.89-2.92
Se  0.1250  0.1250  0.5437 [16 per cell]  6 Ho 2.88-2.94

Calculated values
**Formation energy (no corrections)**: -1.422 eV per atom
**Distance to the lowest polymorph of the same formula**: 0.00 kJ per mole of atoms
**M_tot**: 0.000 μB/atom
**Energy**: -5.42 eV per atom

---

8.
The following is a DFT calculation (PBE) of a geometry-optimized SrCu3As structure.

a b c (Å): 5.1483 5.1483 5.1483
angles (deg): 90.00 90.00 90.00
Closest atoms and distances in Å follow each position.
Space group Pm-3m (No. 221)
Symmetry-distinct sites (fractional):
Sr  0.0000  0.0000  0.0000 [1 per cell]  6 Cu 2.57
Cu  0.0000  0.0000  0.5000 [3 per cell]  2 Sr 2.57
As  0.5000  0.5000  0.5000 [1 per cell]  12 Cu 3.64

Calculated values
**Distance to the lowest polymorph of the same formula**: 141.12 kJ per mole of atoms
**M_tot**: 0.000 μB/atom
**Energy**: -2.19 eV per atom

---

9.
The following is a DFT calculation (PBE) of a geometry-optimized KPb4Au structure.

a b c (Å): 9.6164 4.6242 8.6880
angles (deg): 90.00 90.00 90.00
Closest atoms and distances in Å follow each position.
Space group Pmma (No. 51)
Symmetry-distinct sites (fractional):
K  0.2500  0.0000  0.1237 [2 per cell]  1 Au 3.33
Pb  0.0000  0.0000  0.5000 [2 per cell]  2 Au 3.19, 4 Pb 3.35
Pb  0.0668  0.5000  0.8047 [4 per cell]  2 Au 2.96
Pb  0.2500  0.5000  0.4632 [2 per cell]  2 Au 3.34, 6 Pb 3.35-3.45
Au  0.2500  0.0000  0.7407 [2 per cell]  6 Pb 2.96-3.19

Calculated values
**Distance to the lowest polymorph of the same formula**: 0.41 kJ per mole of atoms
**M_tot**: 0.000 μB/atom
**Energy**: -3.32 eV per atom

---

10.
The following is a DFT calculation (PBE) of a geometry-optimized K2YHf2 structure.

a b c (Å): 10.4386 10.4386 3.1928
angles (deg): 90.00 90.00 90.00
Closest atoms and distances in Å follow each position.
Space group P4/mbm (No. 127)
Symmetry-distinct sites (fractional):
K  0.1992  0.3008  0.0000 [4 per cell]  2 K 3.19, 2 Hf 3.46
Y  0.0000  0.0000  0.5000 [2 per cell]  2 Y 3.19
Hf  0.0927  0.5927  0.5000 [4 per cell]  1 Hf 2.74

Calculated values
**Distance to the lowest polymorph of the same formula**: 22.94 kJ per mole of atoms
**M_tot**: 0.231 μB/atom
**Energy**: -4.46 eV per atom

---

11.
The following is a DFT calculation (PBE) of a geometry-optimized KMgRu structure.

a b c (Å): 6.9269 6.9269 6.9269
angles (deg): 90.00 90.00 90.00
Closest atoms and distances in Å follow each position.
Space group F-43m (No. 216)
Symmetry-distinct sites (fractional):
K  0.0000  0.0000  0.0000 [4 per cell]  4 Ru 3.00
Mg  0.0000  0.0000  0.5000 [4 per cell]  4 Ru 3.00
Ru  0.2500  0.2500  0.7500 [4 per cell]  4 Mg 3.00, 4 K 3.00

Calculated values
**Distance to the lowest polymorph of the same formula**: 59.20 kJ per mole of atoms
**M_tot**: 0.361 μB/atom
**Energy**: -2.76 eV per atom

---

12.
The following is a DFT calculation (PBE) of a geometry-optimized CePuCuPt structure.

a b c (Å): 6.7225 6.7225 6.7225
angles (deg): 90.00 90.00 90.00
Closest atoms and distances in Å follow each position.
Space group F-43m (No. 216)
Symmetry-distinct sites (fractional):
Ce  0.0000  0.0000  0.0000 [4 per cell]  4 Pu 2.91, 4 Pt 2.91
Pu  0.2500  0.2500  0.2500 [4 per cell]  4 Ce 2.91, 4 Cu 2.91
Cu  0.0000  0.0000  0.5000 [4 per cell]  4 Pt 2.91, 4 Pu 2.91
Pt  0.2500  0.2500  0.7500 [4 per cell]  4 Ce 2.91, 4 Cu 2.91

Calculated values
**Distance to the lowest polymorph of the same formula**: 4.09 kJ per mole of atoms
**M_tot**: 1.344 μB/atom
**Energy**: -8.15 eV per atom

---

What is the energy in the third record? -1.09 eV per atom